1.
Below is a relaxed structure of Rb5Li2Cl6, with properties calculated at the GGA-PBE level.

Results
Energy   -3.212 eV/atom
Crystal system   orthorhombic

Lattice parameters (Å, degrees): 13.420 16.538 4.446 90.00 90.00 90.00
Space group Pbam (No. 55)
Asymmetric unit:
Rb  0.000  0.000  0.000 (multiplicity 2)
Rb  0.128  0.453  0.000 (multiplicity 4)
Rb  0.191  0.716  0.000 (multiplicity 4)
Li  0.060  0.274  0.500 (multiplicity 4)
Cl  0.044  0.211  0.000 (multiplicity 4)
Cl  0.058  0.609  0.500 (multiplicity 4)
Cl  0.222  0.337  0.500 (multiplicity 4)



2.
Below is a relaxed structure of Tc2AgSb, with properties calculated at the GGA-PBE level.

Results
Energy   -6.425 eV/atom
Crystal system   tetragonal

Lattice parameters (Å, degrees): 3.237 3.237 6.451 90.00 90.00 90.00
Space group P4/mmm (No. 123)
Asymmetric unit:
Tc  0.000  0.000  0.229 (multiplicity 2)
Ag  0.500  0.500  0.500 (multiplicity 1)
Sb  0.500  0.500  0.000 (multiplicity 1)



3.
Below is a relaxed structure of Y2TaHg, with properties calculated at the GGA-PBE level.

Results
Crystal system   monoclinic
Formation energy   0.314 eV per atom

Lattice parameters (Å, degrees): 5.481 3.228 6.071 90.00 112.88 90.00
Space group P2/m (No. 10)
Asymmetric unit:
Y  0.000  0.000  0.000 (multiplicity 1)
Y  0.000  0.500  0.500 (multiplicity 1)
Ta  0.500  0.000  0.500 (multiplicity 1)
Hg  0.500  0.500  0.000 (multiplicity 1)



> Which formula does entry 1 have?

Rb5Li2Cl6